1.
First-principles (GGA-PBE) data for crystalline V2HS at its relaxed geometry, as listed in the Alexandria database. Values from VASP.

Calculated values
**Distance to the lowest polymorph of the same formula**: 459 meV per atom
**Magnetic moment**: 0.351 μB per atom
**V**: 10.7 Å³/atom
**E_tot**: -6.446 eV per atom

Quantum ESPRESSO input file:
```
&SYSTEM
  ibrav = 0, nat = 4, ntyp = 3
/
ATOMIC_SPECIES
V 50.94 V.upf
H 1.01 H.upf
S 32.06 S.upf
CELL_PARAMETERS angstrom
0.0000 2.7721 2.7721
2.7721 0.0000 2.7721
2.7721 2.7721 0.0000
ATOMIC_POSITIONS angstrom
V 1.3861 1.3861 1.3861
V 4.1582 4.1582 4.1582
H 0.0000 0.0000 0.0000
S 2.7721 2.7721 2.7721
```

2.
First-principles (GGA-PBE) data for crystalline V2HS at its relaxed geometry, as listed in the Alexandria database. Values from VASP.

Calculated values
**Distance to the lowest polymorph of the same formula**: 0 meV per atom
**Magnetic moment**: 0.000 μB per atom
**V**: 11.4 Å³/atom
**E_tot**: -6.905 eV per atom

Quantum ESPRESSO input file:
```
&SYSTEM
  ibrav = 0, nat = 8, ntyp = 3
/
ATOMIC_SPECIES
V 50.94 V.upf
H 1.01 H.upf
S 32.06 S.upf
CELL_PARAMETERS angstrom
3.1527 0.0000 0.0000
0.0000 9.1785 0.0000
0.0000 0.0000 3.1611
ATOMIC_POSITIONS angstrom
V 0.0000 0.7548 0.0000
V 0.0000 6.8093 0.0906
V 1.5763 2.3692 1.6711
V 1.5763 8.4237 1.5805
H 0.0000 8.3482 2.4080
H 1.5763 0.8303 0.8275
S 0.0000 3.2524 0.0737
S 1.5763 5.9261 1.6543
```

Repeat the second record exactly.
First-principles (GGA-PBE) data for crystalline V2HS at its relaxed geometry, as listed in the Alexandria database. Values from VASP.

Calculated values
**Distance to the lowest polymorph of the same formula**: 0 meV per atom
**Magnetic moment**: 0.000 μB per atom
**V**: 11.4 Å³/atom
**E_tot**: -6.905 eV per atom

Quantum ESPRESSO input file:
```
&SYSTEM
  ibrav = 0, nat = 8, ntyp = 3
/
ATOMIC_SPECIES
V 50.94 V.upf
H 1.01 H.upf
S 32.06 S.upf
CELL_PARAMETERS angstrom
3.1527 0.0000 0.0000
0.0000 9.1785 0.0000
0.0000 0.0000 3.1611
ATOMIC_POSITIONS angstrom
V 0.0000 0.7548 0.0000
V 0.0000 6.8093 0.0906
V 1.5763 2.3692 1.6711
V 1.5763 8.4237 1.5805
H 0.0000 8.3482 2.4080
H 1.5763 0.8303 0.8275
S 0.0000 3.2524 0.0737
S 1.5763 5.9261 1.6543
```